No. 1
DFT (PBE) results for a geometry-optimized RbPuPd structure.

a b c (Å): 5.252 5.252 5.252
angles (deg): 60.00 60.00 60.00
Each line ends with the local moment (μB).
Atoms (fractional coordinates):
Pd  0.500  0.500  0.500  -0.13
Pu  0.250  0.250  0.250  5.95
Rb  0.000  0.000  0.000  0.10

## Properties
V	34.145	Å³ per atom
DFT total energy	-18.30	eV/cell
M_tot	6.98	μB per formula unit

No. 2
DFT (PBE) results for a geometry-optimized RbPuTe3Pd structure.

a b c (Å): 9.185 9.185 10.340
angles (deg): 90.00 90.00 151.68
Each line ends with the local moment (μB).
Atoms (fractional coordinates):
Pd  0.994  0.006  0.250  -0.06
Pd  0.006  0.994  0.750  -0.06
Pu  0.500  0.500  0.000  5.18
Pu  0.500  0.500  0.500  5.20
Rb  0.749  0.251  0.250  -0.01
Rb  0.251  0.749  0.750  -0.01
Te  0.112  0.888  0.094  -0.06
Te  0.405  0.595  0.250  -0.09
Te  0.112  0.888  0.406  -0.06
Te  0.888  0.112  0.594  -0.06
Te  0.595  0.405  0.750  -0.09
Te  0.888  0.112  0.906  -0.06

## Properties
V	34.484	Å³ per atom
DFT total energy	-69.46	eV/cell
M_tot	4.90	μB per formula unit

No. 3
DFT (PBE) results for a geometry-optimized PuRePd structure.

a b c (Å): 4.401 4.401 4.401
angles (deg): 60.00 60.00 60.00
Each line ends with the local moment (μB).
Atoms (fractional coordinates):
Pd  0.750  0.750  0.750  -0.07
Pu  0.000  0.000  0.000  4.32
Re  0.250  0.250  0.250  -1.08

## Properties
V	20.088	Å³ per atom
E above lowest polymorph	0.000	eV per atom
DFT total energy	-29.75	eV/cell
M_tot	3.17	μB per formula unit
energy of formation	657.2	meV per atom

No. 4
DFT (PBE) results for a geometry-optimized PuRePd structure.

a b c (Å): 4.513 4.513 4.513
angles (deg): 60.00 60.00 60.00
Atoms (fractional coordinates):
Pd  0.000  0.000  0.000
Pu  0.250  0.250  0.250
Re  0.750  0.750  0.750

## Properties
V	21.667	Å³ per atom
E above lowest polymorph	0.540	eV per atom
DFT total energy	-28.13	eV/cell
M_tot	0.01	μB per formula unit
energy of formation	1196.9	meV per atom

No. 5
DFT (PBE) results for a geometry-optimized Pu2SbPd3 structure.

a b c (Å): 5.646 5.646 8.773
angles (deg): 90.00 90.00 120.00
Each line ends with the local moment (μB).
Atoms (fractional coordinates):
Pd  0.173  0.345  0.250  -0.06
Pd  0.173  0.827  0.250  -0.05
Pd  0.655  0.827  0.250  -0.06
Pd  0.345  0.173  0.750  -0.06
Pd  0.827  0.173  0.750  -0.05
Pd  0.827  0.655  0.750  -0.06
Pu  0.667  0.333  0.070  5.38
Pu  0.667  0.333  0.430  5.38
Pu  0.333  0.667  0.570  5.39
Pu  0.333  0.667  0.930  5.38
Sb  0.000  0.000  0.000  -0.08
Sb  0.000  0.000  0.500  -0.08

## Properties
V	20.186	Å³ per atom
DFT total energy	-104.36	eV/cell
M_tot	11.06	μB per formula unit

No. 6
DFT (PBE) results for a geometry-optimized PuSb2Pd4 structure.

a b c (Å): 7.959 7.959 4.339
angles (deg): 90.00 90.00 90.00
Each line ends with the local moment (μB).
Atoms (fractional coordinates):
Pd  0.403  0.148  0.000  -0.01
Pd  0.148  0.403  0.000  -0.01
Pd  0.852  0.597  0.000  -0.01
Pd  0.597  0.852  0.000  -0.01
Pd  0.648  0.097  0.500  0.00
Pd  0.903  0.352  0.500  -0.01
Pd  0.097  0.648  0.500  -0.01
Pd  0.352  0.903  0.500  0.00
Pu  0.000  0.000  0.000  5.26
Pu  0.500  0.500  0.500  5.31
Sb  0.716  0.284  0.000  -0.02
Sb  0.284  0.716  0.000  -0.02
Sb  0.216  0.216  0.500  -0.03
Sb  0.784  0.784  0.500  -0.03

## Properties
V	19.631	Å³ per atom
DFT total energy	-94.44	eV/cell
M_tot	5.38	μB per formula unit